1.
KZnGa2Te | Alexandria via LeMat-Bulk | GGA-PBE | relaxed; E_form (uncorrected) = 0.771 eV/atom; space-group type = No. 123
1.0
-1.9004 -5.2253 2.5607
5.4542 -2.3920 -0.8333
1.7426 2.0591 5.4951
Zn Te Ga K
1 1 2 1
direct
0.5000 0.5000 0.5000 Zn
0.0000 0.5000 0.0000 Te
0.5000 0.0000 0.0000 Ga
0.0000 0.0000 0.5000 Ga
0.0000 0.0000 0.0000 K


2.
KZnGa2Te4 | Alexandria via LeMat-Bulk | GGA-PBE | relaxed; E_form (uncorrected) = -0.315 eV/atom; space-group type = No. 23
1.0
7.0496 0.0000 0.0000
3.5248 6.1559 0.0674
3.5248 0.5717 6.1297
Ga Te K Zn
2 4 1 1
direct
0.8572 0.6428 0.6428 Ga
0.1428 0.3572 0.3572 Ga
0.1102 0.8712 0.4897 Te
0.4712 0.1288 0.5103 Te
0.5288 0.4897 0.8712 Te
0.8898 0.5103 0.1288 Te
0.0000 0.0000 0.0000 K
0.5000 0.5000 0.5000 Zn


3.
KZrGa2Te | Alexandria via LeMat-Bulk | GGA-PBE | relaxed; E_form (uncorrected) = 1.347 eV/atom; space-group type = No. 123
1.0
5.4298 0.0000 0.0000
0.0000 5.3475 0.0000
0.0000 0.0000 5.4298
Te Ga Zr K
1 2 1 1
direct
0.5000 0.5000 0.5000 Te
0.0000 0.0000 0.5000 Ga
0.5000 0.0000 0.0000 Ga
0.0000 0.5000 0.0000 Zr
0.0000 0.0000 0.0000 K


4.
KTiGa | Alexandria via LeMat-Bulk | GGA-PBE | relaxed; formation enthalpy at 0 K = 0.64 eV/atom; space-group type = No. 187
1.0
-2.7006 -1.5952 3.1455
-0.5245 -1.2616 -4.2267
3.4975 -4.2661 0.8394
Ti Ga K
1 1 1
direct
0.3333 0.6667 0.0000 Ti
0.0000 0.0000 0.0000 Ga
0.6667 0.3333 0.5000 K


5.
KTiGa | Alexandria via LeMat-Bulk | GGA-PBE | relaxed; formation enthalpy at 0 K = 0.60 eV/atom; space-group type = No. 187
1.0
-1.9873 0.6159 4.5739
3.9250 -3.0712 -0.6412
5.0683 6.1917 1.3684
Ti K Ga
2 2 2
direct
0.0000 0.0000 0.6625 Ti
0.0000 0.0000 0.3375 Ti
0.6667 0.3333 0.0000 K
0.6667 0.3333 0.5000 K
0.3333 0.6667 0.6768 Ga
0.3333 0.6667 0.3232 Ga


6.
KTiGa3 | Alexandria via LeMat-Bulk | GGA-PBE | relaxed; formation enthalpy at 0 K = 0.15 eV/atom; space-group type = No. 221
1.0
-1.7017 2.7696 -3.9709
-4.4323 -2.5845 0.0968
-1.9476 3.4618 3.2491
Ti Ga K
1 3 1
direct
0.0000 0.0000 0.0000 Ti
0.5000 0.0000 0.0000 Ga
0.0000 0.0000 0.5000 Ga
0.0000 0.5000 0.0000 Ga
0.5000 0.5000 0.5000 K


7.
KTiGa | Alexandria via LeMat-Bulk | GGA-PBE | relaxed; formation enthalpy at 0 K = 0.09 eV/atom; space-group type = No. 1
1.0
-2.2387 0.3589 3.1447
-7.1798 -9.2199 -1.7448
4.2793 -1.9378 0.8779
Ga K Ti
2 2 2
direct
0.8554 0.2983 0.1160 Ga
0.4197 0.4617 0.4032 Ga
0.5892 0.1000 0.3916 K
0.9473 0.7514 0.7370 K
0.1349 0.3808 0.7548 Ti
0.7092 0.5199 0.0383 Ti


8.
KTiGa | Alexandria via LeMat-Bulk | GGA-PBE | relaxed; formation enthalpy at 0 K = 0.03 eV/atom; space-group type = No. 8
1.0
4.4582 -0.0438 0.0298
0.0859 11.7340 -0.0507
-2.1843 -0.7837 3.7133
Ti Ga K
2 2 2
direct
0.9955 0.4187 0.3481 Ti
0.3751 0.4188 0.0378 Ti
0.7201 0.5291 0.7655 Ga
0.6476 0.3082 0.6190 Ga
0.4429 0.7348 0.2292 K
0.2353 0.1026 0.8099 K


9.
KTiGa3 | Alexandria via LeMat-Bulk | GGA-PBE | relaxed; formation enthalpy at 0 K = 1.47 eV/atom; space-group type = No. 221
1.0
5.2505 0.0000 0.0000
0.0000 5.2505 0.0000
0.0000 0.0000 5.2505
K Ga Ti
1 3 1
direct
0.0000 0.0000 0.0000 K
0.0000 0.5000 0.0000 Ga
0.0000 0.0000 0.5000 Ga
0.5000 0.0000 0.0000 Ga
0.5000 0.5000 0.5000 Ti


10.
KTiGa | Alexandria via LeMat-Bulk | GGA-PBE | relaxed; formation enthalpy at 0 K = 0.18 eV/atom; space-group type = No. 63
1.0
4.9393 0.0000 0.0000
0.0000 4.8629 0.0000
0.0000 0.0000 13.5250
Ti Ga K
4 4 4
direct
0.0005 0.7500 0.7500 Ti
0.4995 0.2500 0.2500 Ti
0.9995 0.2500 0.2500 Ti
0.5005 0.7500 0.7500 Ti
0.7506 0.2500 0.7922 Ga
0.2494 0.7500 0.2078 Ga
0.2506 0.2500 0.7078 Ga
0.7494 0.7500 0.2922 Ga
0.7501 0.2500 0.5327 K
0.2501 0.2500 0.9673 K
0.2499 0.7500 0.4673 K
0.7499 0.7500 0.0327 K


11.
KTiGa2 | Alexandria via LeMat-Bulk | GGA-PBE | relaxed; formation enthalpy at 0 K = 0.40 eV/atom; space-group type = No. 225
1.0
4.3971 2.3116 -0.4281
0.8300 4.2549 2.4634
3.1635 0.0735 3.8533
K Ga Ti
1 2 1
direct
0.0000 0.0000 0.0000 K
0.2500 0.2500 0.2500 Ga
0.7500 0.7500 0.7500 Ga
0.5000 0.5000 0.5000 Ti


12.
KTiGa | Alexandria via LeMat-Bulk | GGA-PBE | relaxed; formation enthalpy at 0 K = 0.22 eV/atom; space-group type = No. 6
1.0
-3.6356 -3.4028 -5.1531
3.5775 -2.6871 -0.7497
-2.8280 -4.3041 1.9318
Ti Ga K
2 2 2
direct
0.5738 0.5000 0.6202 Ti
0.5740 0.0000 0.4262 Ti
0.6550 0.5000 0.1168 Ga
0.6565 0.0000 0.8483 Ga
0.0993 0.0000 0.0270 K
0.0954 0.5000 0.5031 K


| no. | spin magnetization (μB/atom) |
| --- | --- |
| 1 | 0.000 |
| 2 | 0.000 |
| 3 | 0.000 |
| 4 | 0.000 |
| 5 | 0.665 |
| 6 | 0.262 |
| 7 | 0.329 |
| 8 | 0.000 |
| 9 | 0.000 |
| 10 | 0.000 |
| 11 | 0.261 |
| 12 | 0.000 |